# 1
{
  "formula": "Ac2YAuO6",
  "functional": "PBE",
  "state": "optimized geometry",
  "cell": [[5.530, 0.000, 0.000], [0.000, 5.530, 0.000], [0.000, 0.000, 5.876]],
  "species": ["Ac", "Ac", "Y", "Au", "O", "O", "O", "O", "O", "O"],
  "fractional_positions": [[0.000, 0.500, 0.000], [0.500, 0.000, 0.000], [0.000, 0.000, 0.535], [0.500, 0.500, 0.668], [0.000, 0.000, 0.163], [0.245, 0.245, 0.716], [0.245, 0.755, 0.716], [0.500, 0.500, 0.127], [0.755, 0.245, 0.716], [0.755, 0.755, 0.716]],
  "formation_energy_uncorrected_kj_per_mol_atoms": -229,
  "space_group": "No. 99",
  "n_ef_per_ev_cell": 0.0
}

---

# 2
{
  "formula": "Ac2ZnAuO5",
  "functional": "PBE",
  "state": "optimized geometry",
  "cell": [[7.343, 0.000, 0.000], [0.000, 7.343, 0.000], [0.000, 0.000, 5.854]],
  "species": ["Ac", "Ac", "Ac", "Ac", "Zn", "Zn", "Au", "Au", "O", "O", "O", "O", "O", "O", "O", "O", "O", "O"],
  "fractional_positions": [[0.181, 0.319, 0.000], [0.319, 0.819, 0.000], [0.681, 0.181, 0.000], [0.819, 0.681, 0.000], [0.000, 0.000, 0.500], [0.500, 0.500, 0.500], [0.000, 0.500, 0.500], [0.500, 0.000, 0.500], [0.000, 0.000, 0.000], [0.130, 0.630, 0.246], [0.130, 0.630, 0.754], [0.370, 0.130, 0.246], [0.370, 0.130, 0.754], [0.500, 0.500, 0.000], [0.630, 0.870, 0.246], [0.630, 0.870, 0.754], [0.870, 0.370, 0.246], [0.870, 0.370, 0.754]],
  "formation_energy_uncorrected_kj_per_mol_atoms": -174,
  "space_group": "No. 127",
  "n_ef_per_ev_cell": 6.4
}

---

# 3
{
  "formula": "AcZnAuO",
  "functional": "PBE",
  "state": "optimized geometry",
  "cell": [[4.346, 0.000, 0.000], [0.000, 4.346, 0.000], [0.000, 0.000, 9.152]],
  "species": ["Ac", "Ac", "Zn", "Zn", "Au", "Au", "O", "O"],
  "fractional_positions": [[0.250, 0.250, 0.134], [0.750, 0.750, 0.866], [0.250, 0.750, 0.500], [0.750, 0.250, 0.500], [0.250, 0.250, 0.662], [0.750, 0.750, 0.338], [0.250, 0.750, 0.000], [0.750, 0.250, 0.000]],
  "formation_energy_uncorrected_kj_per_mol_atoms": -161,
  "space_group": "No. 129",
  "n_ef_per_ev_cell": 3.2
}

---

# 4
{
  "formula": "AcZnAuO4",
  "functional": "PBE",
  "state": "optimized geometry",
  "cell": [[3.170, -4.728, 0.000], [3.170, 4.728, 0.000], [0.000, 0.000, 7.595]],
  "species": ["Ac", "Ac", "Zn", "Zn", "Au", "Au", "O", "O", "O", "O", "O", "O", "O", "O"],
  "fractional_positions": [[0.000, 0.000, 0.000], [0.000, 0.000, 0.500], [0.372, 0.628, 0.750], [0.628, 0.372, 0.250], [0.303, 0.697, 0.250], [0.697, 0.303, 0.750], [0.249, 0.256, 0.750], [0.256, 0.249, 0.250], [0.272, 0.728, 0.513], [0.272, 0.728, 0.987], [0.728, 0.272, 0.013], [0.728, 0.272, 0.487], [0.744, 0.751, 0.750], [0.751, 0.744, 0.250]],
  "formation_energy_uncorrected_kj_per_mol_atoms": -132,
  "space_group": "No. 63",
  "n_ef_per_ev_cell": 9.5
}

---

# 5
{
  "formula": "AcZrAuO5",
  "functional": "PBE",
  "state": "optimized geometry",
  "cell": [[3.202, -5.111, 0.000], [3.202, 5.111, 0.000], [-2.497, 0.000, 7.529]],
  "species": ["Ac", "Ac", "Zr", "Zr", "Au", "Au", "O", "O", "O", "O", "O", "O", "O", "O", "O", "O"],
  "fractional_positions": [[0.188, 0.812, 0.750], [0.812, 0.188, 0.250], [0.500, 0.500, 0.000], [0.500, 0.500, 0.500], [0.159, 0.841, 0.250], [0.841, 0.159, 0.750], [0.138, 0.165, 0.924], [0.165, 0.138, 0.424], [0.262, 0.670, 0.435], [0.330, 0.738, 0.065], [0.434, 0.566, 0.750], [0.566, 0.434, 0.250], [0.670, 0.262, 0.935], [0.738, 0.330, 0.565], [0.835, 0.862, 0.576], [0.862, 0.835, 0.076]],
  "formation_energy_uncorrected_kj_per_mol_atoms": -210,
  "space_group": "No. 15"
}

---

# 6
{
  "formula": "AcZrAu2O8",
  "functional": "PBE",
  "state": "optimized geometry",
  "cell": [[-2.814, 2.814, 5.215], [2.814, -2.814, 5.215], [2.814, 2.814, -5.215]],
  "species": ["Ac", "Zr", "Au", "Au", "O", "O", "O", "O", "O", "O", "O", "O"],
  "fractional_positions": [[0.000, 0.000, 0.000], [0.750, 0.250, 0.500], [0.250, 0.750, 0.500], [0.500, 0.500, 0.000], [0.039, 0.025, 0.632], [0.071, 0.383, 0.548], [0.392, 0.406, 0.368], [0.477, 0.929, 0.313], [0.594, 0.961, 0.986], [0.617, 0.164, 0.687], [0.836, 0.523, 0.452], [0.975, 0.608, 0.014]],
  "formation_energy_uncorrected_kj_per_mol_atoms": -123,
  "space_group": "No. 82",
  "n_ef_per_ev_cell": 7.4
}

---

# 7
{
  "formula": "Ac5Os2Au",
  "functional": "PBE",
  "state": "optimized geometry",
  "cell": [[8.376, -4.144, 0.000], [8.376, 4.144, 0.000], [-4.091, 0.000, 7.211]],
  "species": ["Ac", "Ac", "Ac", "Ac", "Ac", "Ac", "Ac", "Ac", "Ac", "Ac", "Os", "Os", "Os", "Os", "Au", "Au"],
  "fractional_positions": [[0.000, 0.500, 0.500], [0.029, 0.206, 0.029], [0.206, 0.029, 0.529], [0.295, 0.471, 0.294], [0.471, 0.295, 0.794], [0.500, 0.000, 0.000], [0.529, 0.705, 0.206], [0.705, 0.529, 0.706], [0.794, 0.971, 0.471], [0.971, 0.794, 0.971], [0.136, 0.363, 0.864], [0.363, 0.136, 0.364], [0.637, 0.864, 0.636], [0.864, 0.637, 0.136], [0.250, 0.750, 0.750], [0.750, 0.250, 0.250]],
  "space_group": "No. 15",
  "n_ef_per_ev_cell": 13.1,
  "formation_enthalpy_0k_ev_per_fu": -1.89
}

---

# 8
{
  "formula": "Ac5OsAu2",
  "functional": "PBE",
  "state": "optimized geometry",
  "cell": [[9.484, 0.000, 0.000], [0.000, 12.928, 0.000], [0.000, 0.000, 4.443]],
  "species": ["Ac", "Ac", "Ac", "Ac", "Ac", "Ac", "Ac", "Ac", "Ac", "Ac", "Os", "Os", "Au", "Au", "Au", "Au"],
  "fractional_positions": [[0.000, 0.000, 0.000], [0.145, 0.300, 0.000], [0.174, 0.579, 0.500], [0.326, 0.079, 0.500], [0.355, 0.800, 0.000], [0.500, 0.500, 0.000], [0.645, 0.200, 0.000], [0.674, 0.921, 0.500], [0.826, 0.421, 0.500], [0.855, 0.700, 0.000], [0.000, 0.500, 0.000], [0.500, 0.000, 0.000], [0.071, 0.825, 0.500], [0.429, 0.325, 0.500], [0.571, 0.675, 0.500], [0.929, 0.175, 0.500]],
  "space_group": "No. 55",
  "n_ef_per_ev_cell": 13.2,
  "formation_enthalpy_0k_ev_per_fu": -3.65
}

---

# 9
{
  "formula": "Ac8Os3Au2",
  "functional": "PBE",
  "state": "optimized geometry",
  "cell": [[7.129, -4.437, 0.000], [7.129, 4.437, 0.000], [-0.005, 0.000, 7.584]],
  "species": ["Ac", "Ac", "Ac", "Ac", "Ac", "Ac", "Ac", "Ac", "Os", "Os", "Os", "Au", "Au"],
  "fractional_positions": [[0.110, 0.110, 0.332], [0.127, 0.647, 0.173], [0.353, 0.873, 0.827], [0.386, 0.386, 0.647], [0.614, 0.614, 0.353], [0.647, 0.127, 0.173], [0.873, 0.353, 0.827], [0.890, 0.890, 0.668], [0.000, 0.000, 0.000], [0.258, 0.742, 0.500], [0.742, 0.258, 0.500], [0.257, 0.257, 0.000], [0.743, 0.743, 0.000]],
  "space_group": "No. 12",
  "n_ef_per_ev_cell": 9.8,
  "formation_enthalpy_0k_ev_per_fu": -2.97
}

---

# 10
{
  "formula": "Ac4OsAu2",
  "functional": "PBE",
  "state": "optimized geometry",
  "cell": [[-2.882, 2.882, 7.724], [2.882, -2.882, 7.724], [2.882, 2.882, -7.724]],
  "species": ["Ac", "Ac", "Ac", "Ac", "Os", "Au", "Au"],
  "fractional_positions": [[0.000, 0.500, 0.500], [0.190, 0.190, 0.000], [0.500, 0.000, 0.500], [0.810, 0.810, 0.000], [0.000, 0.000, 0.000], [0.390, 0.390, 0.000], [0.610, 0.610, 0.000]],
  "space_group": "No. 139",
  "n_ef_per_ev_cell": 9.7,
  "formation_enthalpy_0k_ev_per_fu": -1.95
}

---

# 11
{
  "formula": "Ac8Os2Au",
  "functional": "PBE",
  "state": "optimized geometry",
  "cell": [[6.845, -3.720, 0.000], [6.845, 3.720, 0.000], [-0.733, 0.000, 9.272]],
  "species": ["Ac", "Ac", "Ac", "Ac", "Ac", "Ac", "Ac", "Ac", "Os", "Os", "Au"],
  "fractional_positions": [[0.078, 0.078, 0.187], [0.090, 0.596, 0.346], [0.342, 0.342, 0.973], [0.404, 0.910, 0.654], [0.596, 0.090, 0.346], [0.658, 0.658, 0.027], [0.910, 0.404, 0.654], [0.922, 0.922, 0.813], [0.138, 0.138, 0.892], [0.862, 0.862, 0.108], [0.000, 0.000, 0.500]],
  "space_group": "No. 12",
  "n_ef_per_ev_cell": 11.9,
  "formation_enthalpy_0k_ev_per_fu": 0.76
}

---

# 12
{
  "formula": "Ac2OsAu",
  "functional": "PBE",
  "state": "optimized geometry",
  "cell": [[3.708, 0.000, 0.000], [0.000, 3.708, 0.000], [0.000, 0.000, 8.009]],
  "species": ["Ac", "Ac", "Os", "Au"],
  "fractional_positions": [[0.000, 0.000, 0.229], [0.000, 0.000, 0.771], [0.500, 0.500, 0.000], [0.500, 0.500, 0.500]],
  "space_group": "No. 123",
  "n_ef_per_ev_cell": 3.3,
  "formation_enthalpy_0k_ev_per_fu": -0.92
}

---

# 13
{
  "formula": "Ac8Os2Au3",
  "functional": "PBE",
  "state": "optimized geometry",
  "cell": [[7.944, -4.449, 0.000], [7.944, 4.449, 0.000], [-2.385, 0.000, 6.913]],
  "species": ["Ac", "Ac", "Ac", "Ac", "Ac", "Ac", "Ac", "Ac", "Os", "Os", "Au", "Au", "Au"],
  "fractional_positions": [[0.115, 0.604, 0.232], [0.133, 0.133, 0.232], [0.366, 0.366, 0.757], [0.396, 0.885, 0.768], [0.604, 0.115, 0.232], [0.634, 0.634, 0.243], [0.867, 0.867, 0.768], [0.885, 0.396, 0.768], [0.248, 0.248, 0.994], [0.752, 0.752, 0.006], [0.250, 0.750, 0.000], [0.500, 0.500, 0.500], [0.750, 0.250, 0.000]],
  "space_group": "No. 12",
  "n_ef_per_ev_cell": 10.5,
  "formation_enthalpy_0k_ev_per_fu": -4.82
}

---

# 14
{
  "formula": "Ac4OsAu2",
  "functional": "PBE",
  "state": "optimized geometry",
  "cell": [[7.914, -2.325, 0.000], [7.914, 2.325, 0.000], [-1.601, 0.000, 6.406]],
  "species": ["Ac", "Ac", "Ac", "Ac", "Os", "Au", "Au"],
  "fractional_positions": [[0.083, 0.083, 0.270], [0.350, 0.350, 0.187], [0.650, 0.650, 0.813], [0.917, 0.917, 0.730], [0.500, 0.500, 0.000], [0.265, 0.265, 0.667], [0.735, 0.735, 0.333]],
  "space_group": "No. 12",
  "n_ef_per_ev_cell": 4.9,
  "formation_enthalpy_0k_ev_per_fu": -3.03
}

---

# 15
{
  "formula": "Ac4OsAu",
  "functional": "PBE",
  "state": "optimized geometry",
  "cell": [[7.492, 0.000, 0.000], [0.000, 7.768, 0.000], [-3.735, -3.094, 7.596]],
  "species": ["Ac", "Ac", "Ac", "Ac", "Ac", "Ac", "Ac", "Ac", "Os", "Os", "Au", "Au"],
  "fractional_positions": [[0.076, 0.497, 0.223], [0.148, 0.997, 0.222], [0.321, 0.851, 0.709], [0.388, 0.351, 0.709], [0.612, 0.649, 0.291], [0.679, 0.149, 0.291], [0.852, 0.003, 0.778], [0.924, 0.503, 0.777], [0.000, 0.500, 0.500], [0.500, 0.000, 0.500], [0.289, 0.249, 0.000], [0.711, 0.751, 0.000]],
  "space_group": "No. 2",
  "n_ef_per_ev_cell": 10.0,
  "formation_enthalpy_0k_ev_per_fu": -1.28
}

---

# 16
{
  "formula": "Ac6OsPdAu2",
  "functional": "PBE",
  "state": "optimized geometry",
  "cell": [[7.828, 0.000, 0.000], [-3.910, 6.784, 0.000], [-3.913, -2.258, 7.004]],
  "species": ["Ac", "Ac", "Ac", "Ac", "Ac", "Ac", "Os", "Pd", "Au", "Au"],
  "fractional_positions": [[0.000, 0.000, 0.000], [0.000, 0.147, 0.512], [0.364, 0.631, 0.000], [0.393, 0.878, 0.512], [0.730, 0.484, 0.512], [0.735, 0.365, 0.000], [0.882, 0.256, 0.774], [0.880, 0.756, 0.271], [0.502, 0.067, 0.204], [0.505, 0.568, 0.709]],
  "space_group": "No. 1",
  "n_ef_per_ev_cell": 8.0,
  "formation_enthalpy_0k_ev_per_fu": -4.64
}

---

# 17
{
  "formula": "Ac6OsPd2Au",
  "functional": "PBE",
  "state": "optimized geometry",
  "cell": [[3.836, 2.215, 7.130], [-3.836, 2.215, 7.130], [0.000, -4.429, 7.130]],
  "species": ["Ac", "Ac", "Ac", "Ac", "Ac", "Ac", "Os", "Pd", "Pd", "Au"],
  "fractional_positions": [[0.010, 0.330, 0.660], [0.187, 0.807, 0.485], [0.330, 0.660, 0.010], [0.485, 0.187, 0.807], [0.660, 0.010, 0.330], [0.807, 0.485, 0.187], [0.407, 0.407, 0.407], [0.083, 0.083, 0.083], [0.587, 0.587, 0.587], [0.908, 0.908, 0.908]],
  "space_group": "No. 146",
  "n_ef_per_ev_cell": 7.4,
  "formation_enthalpy_0k_ev_per_fu": -4.68
}

---

# 18
{
  "formula": "AcPrOsAu",
  "functional": "PBE",
  "state": "optimized geometry",
  "cell": [[0.000, 3.712, 3.712], [3.712, 0.000, 3.712], [3.712, 3.712, 0.000]],
  "species": ["Ac", "Pr", "Os", "Au"],
  "fractional_positions": [[0.000, 0.000, 0.000], [0.500, 0.500, 0.500], [0.750, 0.750, 0.750], [0.250, 0.250, 0.250]],
  "space_group": "No. 216",
  "n_ef_per_ev_cell": 2.9,
  "formation_enthalpy_0k_ev_per_fu": -0.88
}

---

# 19
{
  "formula": "AcYOsAu",
  "functional": "PBE",
  "state": "optimized geometry",
  "cell": [[0.000, 3.652, 3.652], [3.652, 0.000, 3.652], [3.652, 3.652, 0.000]],
  "species": ["Ac", "Y", "Os", "Au"],
  "fractional_positions": [[0.000, 0.000, 0.000], [0.500, 0.500, 0.500], [0.250, 0.250, 0.250], [0.750, 0.750, 0.750]],
  "space_group": "No. 216",
  "n_ef_per_ev_cell": 3.3,
  "formation_enthalpy_0k_ev_per_fu": -1.05
}

---

# 20
{
  "formula": "Ac3P2Au4",
  "functional": "PBE",
  "state": "optimized geometry",
  "cell": [[5.840, -2.251, 0.000], [5.840, 2.251, 0.000], [-2.554, 0.000, 8.660]],
  "species": ["Ac", "Ac", "Ac", "P", "P", "Au", "Au", "Au", "Au"],
  "fractional_positions": [[0.000, 0.000, 0.000], [0.332, 0.332, 0.344], [0.668, 0.668, 0.656], [0.387, 0.387, 0.720], [0.613, 0.613, 0.280], [0.048, 0.048, 0.374], [0.272, 0.272, 0.924], [0.728, 0.728, 0.076], [0.952, 0.952, 0.626]],
  "space_group": "No. 12",
  "n_ef_per_ev_cell": 4.2,
  "formation_enthalpy_0k_ev_per_fu": -8.30
}

---

# 21
{
  "formula": "AcP2Au4",
  "functional": "PBE",
  "state": "optimized geometry",
  "cell": [[8.047, 0.000, 0.000], [0.000, 8.047, 0.000], [0.000, 0.000, 4.373]],
  "species": ["Ac", "Ac", "P", "P", "P", "P", "Au", "Au", "Au", "Au", "Au", "Au", "Au", "Au"],
  "fractional_positions": [[0.000, 0.000, 0.000], [0.500, 0.500, 0.500], [0.219, 0.219, 0.500], [0.281, 0.719, 0.000], [0.719, 0.281, 0.000], [0.781, 0.781, 0.500], [0.076, 0.672, 0.500], [0.172, 0.424, 0.000], [0.328, 0.924, 0.500], [0.424, 0.172, 0.000], [0.576, 0.828, 0.000], [0.672, 0.076, 0.500], [0.828, 0.576, 0.000], [0.924, 0.328, 0.500]],
  "space_group": "No. 136",
  "n_ef_per_ev_cell": 6.2,
  "formation_enthalpy_0k_ev_per_fu": -2.79
}

---

# 22
{
  "formula": "AcPAu",
  "functional": "PBE",
  "state": "optimized geometry",
  "cell": [[4.394, 0.000, 0.000], [-2.197, 3.805, 0.000], [0.000, 0.000, 4.382]],
  "species": ["Ac", "P", "Au"],
  "fractional_positions": [[0.000, 0.000, 0.000], [0.333, 0.667, 0.500], [0.667, 0.333, 0.500]],
  "space_group": "No. 187",
  "n_ef_per_ev_cell": 2.2,
  "formation_enthalpy_0k_ev_per_fu": -2.84
}